Compound: Na2Ca2Pd
Source: Alexandria
Functional: PBE
Structure: relaxed

Lattice parameters (Å, degrees): 7.4516 7.4516 5.3014 90.00 90.00 90.00
With the nearest neighbours (Å) after each atom.
Space group P4/mbm (No. 127)
Asymmetric unit:
Na 0.1389 0.3611 0.0000 [4 per cell]  2 Pd 2.88, 1 Na 2.93, 2 Ca 3.21
Ca 0.1898 0.6898 0.5000 [4 per cell]  2 Na 3.21
Pd 0.0000 0.0000 0.0000 [2 per cell]  4 Na 2.88

Computed properties:
E above lowest polymorph = 0.107 eV per atom
E_form = 0.05 eV/atom
spin magnetization = 0.000 μB/atom